Entry from Alexandria: an optimized crystal structure of PmCuMoO5 (PBE with a Hubbard U).

Properties
E = -6.99 eV per atom
crystal system = monoclinic
M_tot = 0.004 μB/atom

a b c (Å): 8.9701 8.4872 8.6743
angles (deg): 90.00 120.14 90.00
Space group C2/c (No. 15)
Inequivalent atoms, fractional coordinates:
Pm (0.0000, 0.0000, 0.0000)
Cu (0.0000, 0.3043, 0.2500)
Mo (0.0000, 0.3909, 0.7500)
O (0.0000, 0.0854, 0.2500)
O (0.0192, 0.2694, 0.9277)
O (0.1889, 0.4796, 0.3330)